Computed, not measured: crystalline LiAc3Fe2O8 at its relaxed geometry at the PBE+U level of DFT.

Cell and atoms, written as CIF:
```
data_LiAc3Fe2O8
_chemical_formula_sum 'Li1 Ac3 Fe2 O8'
_space_group_name_H-M_alt 'P -3 m 1'
_space_group_IT_number 164
_space_group_name_Hall '-P 3 2"'
_cell_length_a 5.6669
_cell_length_b 5.6669
_cell_length_c 7.2748
_cell_angle_alpha 90.00
_cell_angle_beta 90.00
_cell_angle_gamma 120.00
loop_
_atom_site_label
_atom_site_fract_x
_atom_site_fract_y
_atom_site_fract_z
_atom_site_occupancy
Li1 0.0000 0.0000 0.0000 1
Ac1 0.0000 0.0000 0.5000 1
Ac2 0.3333 0.6667 0.1300 1
Fe1 0.3333 0.6667 0.6955 1
O1 0.1631 0.3262 0.8123 1
O2 0.3333 0.6667 0.4426 1
```

## Properties
Energy in eV for the cell shown: -99.20